VASP calculation (PBE with a Hubbard U) on crystalline BaCrAg2F6 at its relaxed geometry.

## Properties
N(E_F) (states/eV per atom): 0.188
Calculated density (Mg/m³): 4.6
Space group: Pmmn (59)
Electronic total energy (eV/atom): -4.852

Unit cell a=5.815 b=7.094 c=9.092 alpha=90.00 beta=90.00 gamma=90.00
Sites, in units of the cell vectors:
F1 0.000 0.772 0.783
Cr1 0.500 0.222 0.500
Ba1 0.000 0.696 0.500
Ag1 0.000 0.129 0.279
Ag2 0.500 0.871 0.779
F2 0.500 0.228 0.283
F3 0.735 0.018 0.500
Ag3 0.000 0.129 0.721
F4 0.765 0.982 0.000
F5 0.235 0.982 0.000
Cr2 0.000 0.778 0.000
F6 0.000 0.772 0.217
F7 0.500 0.228 0.717
F8 0.236 0.588 0.000
F9 0.764 0.588 0.000
F10 0.265 0.018 0.500
F11 0.264 0.412 0.500
Ag4 0.500 0.871 0.221
F12 0.736 0.412 0.500
Ba2 0.500 0.304 0.000